[1]
Compound: ScTiTcRu
Source: Alexandria
Functional: PBE
Structure: optimized geometry

Cell and atoms, written as POSCAR:
```
ScTiTcRu
1.0
-4.444 -0.140 -0.405
-2.219 -3.734 1.032
-2.571 -0.134 3.648
Sc Ru Tc Ti
1 1 1 1
Direct
0.750 0.750 0.750 Sc
0.000 0.000 0.000 Ru
0.500 0.500 0.500 Tc
0.250 0.250 0.250 Ti
```

Calculated values
Its space group is F-43m. The value obtained for the spin magnetization is 0.000 μB/atom. The formation energy comes out at -427 meV per atom.

---

[2]
Compound: HOs2Pt
Source: Alexandria
Functional: PBE
Structure: optimized geometry

Cell and atoms, written as POSCAR:
```
HOs2Pt
1.0
0.000 2.971 2.971
2.971 0.000 2.971
2.971 2.971 0.000
H Os Pt
1 2 1
Direct
0.000 0.000 0.000 H
0.250 0.250 0.250 Os
0.750 0.750 0.750 Os
0.500 0.500 0.500 Pt
```

Calculated values
Its space group is Fm-3m. Its excess energy over the best structure of this formula in the dataset is 51 meV/atom. The value obtained for the spin magnetization is 0.000 μB/atom.

---

[3]
Compound: AgSeIN2
Source: Alexandria
Functional: PBE
Structure: optimized geometry

Cell and atoms, written as POSCAR:
```
AgSeIN2
1.0
4.134 0.000 0.000
0.000 4.134 0.000
0.000 0.000 7.651
I Se Ag N
1 1 1 2
Direct
0.000 0.000 0.500 I
0.500 0.500 0.500 Se
0.000 0.000 0.000 Ag
0.000 0.500 0.000 N
0.500 0.000 0.000 N
```

Calculated values
Its space group is P4/mmm. Its excess energy over the best structure of this formula in the dataset is 346 meV/atom. As for the uncorrected formation energy: 1.774 eV per atom. The value obtained for the spin magnetization is 0.766 μB/atom.

---

[4]
Compound: HoPaSi2
Source: Alexandria
Functional: PBE
Structure: optimized geometry

Cell and atoms, written as POSCAR:
```
HoPaSi2
1.0
-3.218 3.172 0.255
-4.231 -0.961 -1.287
-3.580 -0.756 4.376
Si Pa Ho
2 1 1
Direct
0.749 0.749 0.752 Si
0.251 0.251 0.248 Si
0.500 0.500 0.500 Pa
0.000 0.000 0.000 Ho
```

Calculated values
Its space group is R-3m. As for the uncorrected formation energy: -0.427 eV per atom. The value obtained for the spin magnetization is 0.000 μB/atom.

---

[5]
Compound: Mn2CrNi
Source: Alexandria
Functional: PBE
Structure: optimized geometry

Cell and atoms, written as POSCAR:
```
Mn2CrNi
1.0
3.398 0.000 0.000
0.000 3.398 0.000
1.699 1.699 8.257
Ni Mn Cr
2 4 2
Direct
0.000 0.000 0.000 Ni
0.750 0.250 0.500 Ni
0.659 0.125 0.250 Mn
0.091 0.625 0.250 Mn
0.375 0.341 0.750 Mn
0.875 0.909 0.750 Mn
0.500 0.500 0.000 Cr
0.250 0.750 0.500 Cr
```

Calculated values
Its space group is I-42d. The value obtained for the spin magnetization is 0.000 μB/atom. The formation energy comes out at 641 meV per atom.

---

[6]
Compound: Y2Fe17C2
Source: Alexandria
Functional: PBE
Structure: optimized geometry

Cell and atoms, written as POSCAR:
```
Y2Fe17C2
1.0
6.457 -0.008 0.004
0.753 6.413 0.004
0.718 0.638 6.417
Y Fe C
2 17 2
Direct
0.347 0.347 0.336 Y
0.653 0.653 0.664 Y
0.097 0.097 0.096 Fe
0.903 0.903 0.904 Fe
0.654 0.654 0.145 Fe
0.656 0.147 0.659 Fe
0.147 0.656 0.659 Fe
0.346 0.346 0.855 Fe
0.344 0.853 0.341 Fe
0.853 0.344 0.341 Fe
0.715 0.285 0.000 Fe
0.285 0.002 0.715 Fe
0.998 0.715 0.285 Fe
0.715 0.998 0.285 Fe
0.002 0.285 0.715 Fe
0.285 0.715 0.000 Fe
0.000 0.000 0.500 Fe
0.000 0.500 0.000 Fe
0.500 0.000 0.000 Fe
0.500 0.000 0.500 C
0.000 0.500 0.500 C
```

Calculated values
Its space group is C2/m. The value obtained for the spin magnetization is 1.712 μB/atom. The formation energy comes out at -61 meV per atom.

---

[7]
Compound: TlBrCl
Source: Alexandria
Functional: PBE
Structure: optimized geometry

Cell and atoms, written as POSCAR:
```
TlBrCl
1.0
4.218 0.000 0.000
0.000 6.598 0.070
0.001 0.336 8.143
Tl Br Cl
2 2 2
Direct
0.822 0.062 0.851 Tl
0.322 0.062 0.351 Tl
0.322 0.309 0.707 Br
0.322 0.815 0.994 Br
0.822 0.279 0.103 Cl
0.822 0.845 0.598 Cl
```

Calculated values
Its space group is P2/m. Its excess energy over the best structure of this formula in the dataset is 36 meV/atom. As for the uncorrected formation energy: -0.680 eV per atom. The value obtained for the spin magnetization is 0.000 μB/atom.

---

[8]
Compound: LiCrOs2
Source: Alexandria
Functional: PBE
Structure: optimized geometry

Cell and atoms, written as POSCAR:
```
LiCrOs2
1.0
4.131 0.000 0.000
0.000 2.640 -0.033
0.000 1.130 4.760
Cr Li Os
1 1 2
Direct
0.000 0.464 0.522 Cr
0.500 0.743 0.734 Li
0.000 0.974 0.997 Os
0.500 0.319 0.246 Os
```

Calculated values
Its space group is Pm. Its excess energy over the best structure of this formula in the dataset is 147 meV/atom. The value obtained for the spin magnetization is 0.000 μB/atom. The formation energy comes out at 255 meV per atom.